Entry from Alexandria via LeMat-Bulk: BaNp2PdSe4 after structural relaxation (PBE).

a b c (Å): 7.285 7.285 14.411
angles (deg): 90.00 90.00 146.16
Fractional coordinates of all 16 atoms:
1 Ba 0.117 0.883 0.750
2 Ba 0.883 0.117 0.250
3 Np 0.369 0.631 0.566
4 Np 0.369 0.631 0.934
5 Np 0.631 0.369 0.066
6 Np 0.631 0.369 0.434
7 Pd 0.156 0.844 0.250
8 Pd 0.844 0.156 0.750
9 Se 0.000 0.000 0.000
10 Se 0.000 0.000 0.500
11 Se 0.268 0.732 0.108
12 Se 0.268 0.732 0.392
13 Se 0.447 0.553 0.750
14 Se 0.553 0.447 0.250
15 Se 0.732 0.268 0.608
16 Se 0.732 0.268 0.892

total magnetization = 16.00 μB/cell
uncorrected formation energy = -1.25 eV per atom